MgMnBi2O | GGA+U | optimized geometry

abc: 5.230 5.230 5.247
angles: 90.00 90.00 90.00
Element x y z (fractional)
1 Mg 0.000 0.000 0.000
2 Mn 0.000 0.000 0.500
3 Bi 0.000 0.500 0.500
4 Bi 0.500 0.000 0.500
5 O 0.500 0.500 0.000

Total energy ... -17.8 eV/cell
Space group ... P4/mmm, No. 123
Crystal system ... tetragonal